Computed, not measured: Sr2PbAu7 after structural relaxation at the PBE level of DFT.

Properties
For the formation energy, the calculation gives -0.45 eV/atom. The value obtained for the calculated volume is 24.4 Å³/atom.

Cell: 4.293 4.293 13.211 Å, 90.00 90.00 90.00°
Sites, in units of the cell vectors:
1 Au 0.500 0.000 0.155
2 Au 0.000 0.500 0.641
3 Au 0.000 0.500 0.845
4 Sr 0.000 0.500 0.268
5 Au 0.500 0.500 0.500
6 Au 0.000 0.000 0.500
7 Au 0.000 0.000 0.000
8 Sr 0.500 0.000 0.732
9 Au 0.500 0.000 0.359
10 Pb 0.500 0.500 0.000